First-principles (PBEsol) data for an optimized crystal structure of Nb3NiSe6, as listed in the Alexandria database.

Computed properties:
Uncorrected energy, Ry/atom: -0.5136

abc: 5.9711 5.9711 12.1895
angles: 90.00 90.00 120.00
Space group P6_322 (No. 182)
Symmetry-distinct sites (fractional):
Nb 0.0000 0.0000 0.0000 x2
Nb 0.3333 0.6667 0.0009 x4
Ni 0.3333 0.6667 0.2500 x2
Se 0.0067 0.3341 0.8630 x12

=====

First-principles (PBEsol) data for an optimized crystal structure of Nb4NiSe8, as listed in the Alexandria database.

Computed properties:
Uncorrected energy, Ry/atom: -0.5162

abc: 6.8835 6.8835 12.1481
angles: 90.00 90.00 120.00
Space group P6_3/mmc (No. 194)
Symmetry-distinct sites (fractional):
Nb 0.0000 0.0000 0.2500 x2
Nb 0.0188 0.5094 0.2500 x6
Ni 0.0000 0.0000 0.0000 x2
Se 0.1686 0.3372 0.6151 x12
Se 0.3333 0.6667 0.1052 x4

=====

First-principles (PBEsol) data for an optimized crystal structure of Nb3SiNi2, as listed in the Alexandria database.

Computed properties:
Uncorrected energy, Ry/atom: -0.6511

abc: 11.105 11.105 11.105
angles: 90.00 90.00 90.00
Space group Fd-3m (No. 227, origin choice 2)
Symmetry-distinct sites (fractional):
Nb 0.077 0.375 0.375 x48
Si 0.000 0.000 0.500 x16
Ni 0.043 0.043 0.707 x32

=====

First-principles (PBEsol) data for an optimized crystal structure of Nb2SiNi3, as listed in the Alexandria database.

Computed properties:
Uncorrected energy, Ry/atom: -0.5989

abc: 4.8119 4.8119 7.6181
angles: 90.00 90.00 120.00
Space group P6_3/mmc (No. 194)
Symmetry-distinct sites (fractional):
Nb 0.3333 0.6667 0.0591 x4
Si 0.0000 0.0000 0.0000 x2
Ni 0.1691 0.3381 0.7500 x6